(1)
A plane-wave DFT calculation with meta-GGA SCAN was carried out for TlHO3 at its PBEsol-relaxed geometry.

Summary:
* Fermi-level density of states: 0.271 states/eV/atom
* E: -91.81 eV/f.u.

Cell and atoms, written as extended XYZ:
```
5
Lattice="3.543 0.000 0.000 0.000 3.543 0.000 0.000 0.000 3.543" Properties=species:S:1:pos:R:3 pbc="T T T"
Tl 0.000 0.000 0.000
H 1.772 1.772 1.772
O 0.000 1.772 1.772
O 1.772 0.000 1.772
O 1.772 1.772 0.000
```



(2)
A plane-wave DFT calculation with meta-GGA SCAN was carried out for TmH3O3 at its PBEsol-relaxed geometry.

Summary:
* Fermi-level density of states: 0.000 states/eV/atom
* E above lowest polymorph: 0.00 eV/f.u.

Cell and atoms, written as extended XYZ:
```
14
Lattice="6.149 0.000 0.000 0.000 3.416 0.000 -3.069 0.000 5.332" Properties=species:S:1:pos:R:3 pbc="T T T"
Tm 0.003 0.854 1.778
Tm 3.077 2.562 3.554
H -1.314 0.854 4.641
H -0.059 2.562 3.844
H 1.823 2.562 0.795
H 1.257 0.854 4.536
H 3.140 0.854 1.487
H 4.394 2.562 0.691
O -1.472 0.854 3.675
O 0.906 2.562 0.451
O 0.698 2.562 3.224
O 2.382 0.854 2.107
O 2.174 0.854 4.881
O 4.552 2.562 1.657
```



(3)
A plane-wave DFT calculation with meta-GGA SCAN was carried out for TmHO2 at its PBEsol-relaxed geometry.

Summary:
* Fermi-level density of states: 0.000 states/eV/atom
* E: -79.45 eV/f.u.

Cell and atoms, written as extended XYZ:
```
16
Lattice="10.594 0.000 0.000 0.000 3.424 0.000 0.000 0.000 4.916" Properties=species:S:1:pos:R:3 pbc="T T T"
Tm 1.510 0.856 0.502
Tm 3.787 2.568 2.960
Tm 6.807 0.856 1.956
Tm 9.084 2.568 4.414
H 1.100 2.568 3.109
H 4.197 0.856 0.651
H 6.397 2.568 4.265
H 9.494 0.856 1.807
O 0.730 2.568 4.062
O 1.984 2.568 1.750
O 3.313 0.856 4.208
O 4.567 0.856 1.604
O 6.027 2.568 3.313
O 7.281 2.568 0.708
O 8.610 0.856 3.166
O 9.864 0.856 0.854
```



(4)
A plane-wave DFT calculation with meta-GGA SCAN was carried out for TmHO2 at its PBEsol-relaxed geometry.

Summary:
* Fermi-level density of states: 0.000 states/eV/atom
* E: -79.41 eV/f.u.

Cell and atoms, written as extended XYZ:
```
16
Lattice="5.811 0.000 0.000 0.000 5.342 0.000 -1.817 0.000 5.513" Properties=species:S:1:pos:R:3 pbc="T T T"
Tm 0.923 0.060 1.367
Tm 0.015 2.611 4.124
Tm 3.980 2.731 1.389
Tm 3.071 5.282 4.146
H 1.172 2.789 1.302
H 0.264 5.225 4.059
H 3.731 0.118 1.454
H 2.823 2.553 4.211
O -0.803 0.727 4.809
O 0.105 1.944 2.053
O 1.866 3.371 0.793
O 0.958 4.643 3.550
O 3.036 0.700 1.964
O 2.128 1.971 4.720
O 3.890 3.398 3.461
O 4.798 4.616 0.704
```